# 1
Entry from OQMD: CuOsPd after structural relaxation (GGA-PBE).

Unit cell a=4.0443 b=4.0443 c=4.0443 alpha=60.00 beta=60.00 gamma=60.00
Closest atoms and distances in Å follow each position.
Fractional positions:
Cu  0.0000  0.0000  0.0000  4 Os 2.48, 4 Pd 2.48
Os  0.2500  0.2500  0.2500  4 Cu 2.48
Pd  0.7500  0.7500  0.7500  4 Cu 2.48

Computed properties:
**Calculated formation energy**: 957 meV per atom
**Space-group type**: No. 216
**Excess energy over the best structure of this formula in the dataset**: 0 meV per atom
**Crystal system**: cubic



# 2
Entry from OQMD: Tb3P2O after structural relaxation (GGA-PBE).

Unit cell a=3.8440 b=3.8440 c=9.3071 alpha=90.00 beta=90.00 gamma=120.00
Closest atoms and distances in Å follow each position.
Fractional positions:
O  0.0000  0.0000  0.0000  6 Tb 2.61
P  0.3333  0.6667  0.3181  6 Tb 2.73-2.79
P  0.6667  0.3333  0.6819  6 Tb 2.73-2.79
Tb  0.6667  0.3333  0.1467  3 O 2.61, 3 P 2.73
Tb  0.0000  0.0000  0.5000  6 P 2.79
Tb  0.3333  0.6667  0.8533  3 O 2.61, 3 P 2.73

Computed properties:
**Space-group type**: No. 164
**Electronic total energy**: -6.89 eV per atom
**Crystal system**: trigonal



# 3
Entry from OQMD: PrOsPb2O6 after structural relaxation (GGA-PBE).

Unit cell a=5.2093 b=5.3110 c=5.8919 alpha=88.59 beta=88.26 gamma=73.58
Closest atoms and distances in Å follow each position.
Fractional positions:
O  0.2877  0.2712  0.0049  1 Os 1.86
O  0.7084  0.3005  0.2669  1 Os 2.04
O  0.2849  0.6957  0.2679  1 Os 2.04
O  0.7151  0.3043  0.7321  1 Os 2.04
O  0.2916  0.6995  0.7331  1 Os 2.04
O  0.7123  0.7288  0.9951  1 Os 1.86
Os  0.5000  0.5000  0.0000  6 O 1.86-2.04
Pb  0.6794  0.6861  0.4874  4 O 2.42-2.45
Pb  0.3206  0.3139  0.5126  4 O 2.42-2.45
Pr  0.0000  0.0000  0.0000  6 O 2.36-2.44

Computed properties:
**Space-group type**: No. 2
**Excess energy over the best structure of this formula in the dataset**: 74 meV per atom
**Crystal system**: triclinic